# Sc3I4Cl2

A relaxed structure of Sc3I4Cl2 (PBE, Alexandria).

Cell and atoms, written as CIF:
```
data_Sc3I4Cl2
_symmetry_space_group_name_H-M 'P -6 m 2'
_symmetry_Int_Tables_number 187
_symmetry_space_group_name_Hall 'P -6 2'
_cell_length_a 3.8340
_cell_length_b 3.8340
_cell_length_c 23.6549
_cell_angle_alpha 90.00
_cell_angle_beta 90.00
_cell_angle_gamma 120.00
loop_
_atom_site_label
_atom_site_type_symbol
_atom_site_fract_x
_atom_site_fract_y
_atom_site_fract_z
_atom_site_occupancy
Sc1 Sc 0.0000 0.0000 0.0000 1
Sc2 Sc 0.3333 0.6667 0.3154 1
I1 I 0.0000 0.0000 0.2335 1
I2 I 0.0000 0.0000 0.3974 1
Cl1 Cl 0.3333 0.6667 0.0660 1
```

Results
Raw total energy in eV per atom: -4.529
D(E_F) in states/eV per cell: 2.0
Calculated volume in Å³ per cell: 301